Material: ZnFeP2
Method: DFT, PBE
State: relaxed

abc: 2.6885 2.6885 27.8306
angles: 90.00 90.00 120.00
With the nearest neighbours (Å) after each atom.
Positions (direct):
Zn (0.0000, 0.0000, 0.0000)  6 Zn 2.69
Zn (0.3333, 0.6667, 0.6667)  6 Zn 2.69
Zn (0.6667, 0.3333, 0.3333)  6 Zn 2.69
Fe (0.0000, 0.0000, 0.5000)  6 P 2.31
Fe (0.3333, 0.6667, 0.1667)  6 P 2.31
Fe (0.6667, 0.3333, 0.8333)  6 P 2.31
P (0.0000, 0.0000, 0.2281)  3 Fe 2.31
P (0.0000, 0.0000, 0.7719)  3 Fe 2.31
P (0.3333, 0.6667, 0.4385)  3 Fe 2.31
P (0.3333, 0.6667, 0.8948)  3 Fe 2.31
P (0.6667, 0.3333, 0.1052)  3 Fe 2.31
P (0.6667, 0.3333, 0.5615)  3 Fe 2.31

Output
* space group: R-3m (166)
* total energy: -5.120 eV per atom
* formation energy: 19 meV per atom
* total magnetic moment: 0.01 μB/f.u.

---

Material: SmP3Pd10
Method: DFT, PBE
State: relaxed

abc: 8.6409 8.6409 8.6409
angles: 60.00 60.00 60.00
With the nearest neighbours (Å) after each atom.
Positions (direct):
Sm (0.2500, 0.2500, 0.2500)  4 Pd 2.87
Sm (0.7500, 0.7500, 0.7500)  4 Pd 2.87
P (0.2407, 0.2407, 0.7593)  8 Pd 2.36-2.51
P (0.2407, 0.7593, 0.2407)  8 Pd 2.36-2.51
P (0.2407, 0.7593, 0.7593)  8 Pd 2.36-2.51
P (0.7593, 0.2407, 0.2407)  8 Pd 2.36-2.51
P (0.7593, 0.2407, 0.7593)  8 Pd 2.36-2.51
P (0.7593, 0.7593, 0.2407)  8 Pd 2.36-2.51
Pd (0.1144, 0.1144, 0.1144)  3 P 2.51, 3 Pd 2.79
Pd (0.1144, 0.1144, 0.6569)  3 P 2.51, 3 Pd 2.79
Pd (0.1144, 0.6569, 0.1144)  3 P 2.51, 3 Pd 2.79
Pd (0.1548, 0.5000, 0.5000)  2 P 2.36
Pd (0.1548, 0.5000, 0.8452)  2 P 2.36
Pd (0.1548, 0.8452, 0.5000)  2 P 2.36
Pd (0.3431, 0.8856, 0.8856)  3 P 2.51, 3 Pd 2.79
Pd (0.5000, 0.1548, 0.5000)  2 P 2.36
Pd (0.5000, 0.1548, 0.8452)  2 P 2.36
Pd (0.5000, 0.5000, 0.1548)  2 P 2.36
Pd (0.5000, 0.5000, 0.8452)  2 P 2.36
Pd (0.5000, 0.8452, 0.1548)  2 P 2.36
Pd (0.5000, 0.8452, 0.5000)  2 P 2.36
Pd (0.6569, 0.1144, 0.1144)  3 P 2.51, 3 Pd 2.79
Pd (0.8452, 0.1548, 0.5000)  2 P 2.36
Pd (0.8452, 0.5000, 0.1548)  2 P 2.36
Pd (0.8452, 0.5000, 0.5000)  2 P 2.36
Pd (0.8856, 0.3431, 0.8856)  3 P 2.51, 3 Pd 2.79
Pd (0.8856, 0.8856, 0.3431)  3 P 2.51, 3 Pd 2.79
Pd (0.8856, 0.8856, 0.8856)  3 P 2.51, 3 Pd 2.79

Output
* space group: Fm-3m (225)
* total energy: -5.827 eV per atom
* formation energy: -622 meV per atom
* total magnetic moment: 0.00 μB/f.u.

---

Material: Sr3In6Sn5
Method: DFT, PBE
State: relaxed

abc: 4.7438 15.9704 11.2442
angles: 90.00 90.00 90.00
With the nearest neighbours (Å) after each atom.
Positions (direct):
Sr (0.2500, 0.0684, 0.2483)  6 In 3.46-3.83, 6 Sn 3.50-3.76
Sr (0.2500, 0.4316, 0.2483)  6 In 3.46-3.83, 6 Sn 3.50-3.76
Sr (0.2500, 0.7500, 0.2557)  6 Sn 3.76, 10 In 3.89-4.06
Sr (0.7500, 0.2500, 0.7443)  6 Sn 3.76, 10 In 3.89-4.06
Sr (0.7500, 0.5684, 0.7517)  6 In 3.46-3.83, 6 Sn 3.50-3.76
Sr (0.7500, 0.9316, 0.7517)  6 In 3.46-3.83, 6 Sn 3.50-3.76
In (0.2500, 0.0677, 0.6073)  4 Sn 2.96-3.12, 1 In 3.30
In (0.2500, 0.2500, 0.0257)  4 Sn 3.11-3.25, 4 In 3.41
In (0.2500, 0.2500, 0.4699)  4 Sn 3.14, 2 In 3.30
In (0.2500, 0.4323, 0.6073)  4 Sn 2.96-3.12, 1 In 3.30
In (0.2500, 0.5968, 0.9715)  4 Sn 2.98-3.28
In (0.2500, 0.9032, 0.9715)  4 Sn 2.98-3.28
In (0.7500, 0.0968, 0.0285)  4 Sn 2.98-3.28
In (0.7500, 0.4032, 0.0285)  4 Sn 2.98-3.28
In (0.7500, 0.5677, 0.3927)  4 Sn 2.96-3.12, 1 In 3.30
In (0.7500, 0.7500, 0.5301)  4 Sn 3.14, 2 In 3.30
In (0.7500, 0.7500, 0.9743)  4 Sn 3.11-3.25, 4 In 3.41
In (0.7500, 0.9323, 0.3927)  4 Sn 2.96-3.12, 1 In 3.30
Sn (0.2500, 0.0896, 0.8690)  5 In 2.96-3.19
Sn (0.2500, 0.4104, 0.8690)  5 In 2.96-3.19
Sn (0.2500, 0.6212, 0.5353)  5 In 2.99-3.14
Sn (0.2500, 0.7500, 0.7773)  4 In 3.25-3.28, 2 Sn 3.41
Sn (0.2500, 0.8788, 0.5353)  5 In 2.99-3.14
Sn (0.7500, 0.1212, 0.4647)  5 In 2.99-3.14
Sn (0.7500, 0.2500, 0.2227)  4 In 3.25-3.28, 2 Sn 3.41
Sn (0.7500, 0.3788, 0.4647)  5 In 2.99-3.14
Sn (0.7500, 0.5896, 0.1310)  5 In 2.96-3.19
Sn (0.7500, 0.9104, 0.1310)  5 In 2.96-3.19

Output
* space group: Pmmn (59)
* total energy: -3.251 eV per atom
* formation energy: -288 meV per atom
* total magnetic moment: 0.00 μB/f.u.

---

Material: LiPa2CoN4
Method: DFT, PBE
State: relaxed

abc: 6.3327 6.3327 11.4347
angles: 90.00 90.00 147.40
With the nearest neighbours (Å) after each atom.
Positions (direct):
Li (0.0146, 0.9854, 0.7500)  2 N 2.18
Li (0.9854, 0.0146, 0.2500)  2 N 2.18
Pa (0.3673, 0.6327, 0.5547)  6 N 2.25-2.48
Pa (0.3673, 0.6327, 0.9453)  6 N 2.25-2.48
Pa (0.6327, 0.3673, 0.0547)  6 N 2.25-2.48
Pa (0.6327, 0.3673, 0.4453)  6 N 2.25-2.48
Co (0.1920, 0.8080, 0.2500)  2 N 1.91
Co (0.8080, 0.1920, 0.7500)  2 N 1.91
N (0.0000, 0.0000, 0.0000)  4 Pa 2.48
N (0.0000, 0.0000, 0.5000)  4 Pa 2.48
N (0.2444, 0.7556, 0.0927)  1 Co 1.91
N (0.2444, 0.7556, 0.4073)  1 Co 1.91
N (0.4105, 0.5895, 0.7500)  2 Co 2.17, 2 Li 2.18, 2 Pa 2.29
N (0.5895, 0.4105, 0.2500)  2 Co 2.17, 2 Li 2.18, 2 Pa 2.29
N (0.7556, 0.2444, 0.5927)  1 Co 1.91
N (0.7556, 0.2444, 0.9073)  1 Co 1.91

Output
* formation energy from raw total energies: -1033 meV per atom
* space group: Cmcm (63)
* total energy: -8.697 eV per atom
* total magnetic moment: 2.00 μB/f.u.

---

Material: Fe2CuRu
Method: DFT, PBE
State: relaxed

abc: 8.6147 2.5754 4.5785
angles: 90.00 98.85 90.00
With the nearest neighbours (Å) after each atom.
Positions (direct):
Fe (0.2491, 0.0000, 0.2439)  6 Fe 2.58-2.67, 3 Cu 2.58-2.60, 3 Ru 2.60-2.63
Fe (0.2509, 0.5000, 0.7561)  6 Fe 2.58-2.67, 3 Cu 2.58-2.60, 3 Ru 2.60-2.63
Fe (0.7491, 0.5000, 0.2439)  6 Fe 2.58-2.67, 3 Cu 2.58-2.60, 3 Ru 2.60-2.63
Fe (0.7509, 0.0000, 0.7561)  6 Fe 2.58-2.67, 3 Cu 2.58-2.60, 3 Ru 2.60-2.63
Cu (0.0000, 0.5000, 0.0000)  2 Cu 2.58, 6 Fe 2.58-2.60, 4 Ru 2.63
Cu (0.5000, 0.0000, 0.0000)  2 Cu 2.58, 6 Fe 2.58-2.60, 4 Ru 2.63
Ru (0.0000, 0.0000, 0.5000)  2 Ru 2.58, 6 Fe 2.60-2.63, 4 Cu 2.63
Ru (0.5000, 0.5000, 0.5000)  2 Ru 2.58, 6 Fe 2.60-2.63, 4 Cu 2.63

Output
* space group: C2/m (12)
* total energy: -7.361 eV per atom
* formation energy: 213 meV per atom
* total magnetic moment: 5.63 μB/f.u.
* distance to the lowest polymorph of the same formula: 0.049 eV per atom

---

Material: DyPu2O8
Method: DFT, PBE
State: relaxed

abc: 6.1562 6.1562 4.6418
angles: 93.53 93.53 70.56
With the nearest neighbours (Å) after each atom.
Positions (direct):
Dy (0.0000, 0.0000, 0.0000)  6 O 2.22-2.32
Pu (0.3697, 0.3697, 0.7390)  4 O 1.89-2.04
Pu (0.6303, 0.6303, 0.2610)  4 O 1.89-2.04
O (0.1119, 0.6429, 0.7537)  1 Pu 1.89
O (0.1770, 0.1770, 0.7415)  1 Pu 1.94
O (0.3571, 0.8881, 0.2463)  1 Pu 1.89
O (0.4268, 0.4268, 0.2382)  1 Pu 2.04
O (0.5732, 0.5732, 0.7618)  1 Pu 2.04
O (0.6429, 0.1119, 0.7537)  1 Pu 1.89
O (0.8230, 0.8230, 0.2585)  1 Pu 1.94
O (0.8881, 0.3571, 0.2463)  1 Pu 1.89

Output
* formation energy from raw total energies: -2567 meV per atom
* space group: C2/m (12)
* total energy: -9.197 eV per atom
* total magnetic moment: 3.00 μB/f.u.

---

Material: CrCd2Pt9
Method: DFT, PBE
State: relaxed

abc: 3.9834 3.9834 12.0747
angles: 90.00 90.00 90.00
With the nearest neighbours (Å) after each atom.
Positions (direct):
Cr (0.0000, 0.0000, 0.0000)  12 Pt 2.74-2.82
Cd (0.0000, 0.0000, 0.3301)  12 Pt 2.82-2.90
Cd (0.0000, 0.0000, 0.6699)  12 Pt 2.82-2.90
Pt (0.0000, 0.5000, 0.1554)  2 Cr 2.74, 8 Pt 2.74-2.88, 2 Cd 2.90
Pt (0.0000, 0.5000, 0.5000)  8 Pt 2.82-2.88, 4 Cd 2.86
Pt (0.0000, 0.5000, 0.8446)  2 Cr 2.74, 8 Pt 2.74-2.88, 2 Cd 2.90
Pt (0.5000, 0.0000, 0.1554)  2 Cr 2.74, 8 Pt 2.74-2.88, 2 Cd 2.90
Pt (0.5000, 0.0000, 0.5000)  8 Pt 2.82-2.88, 4 Cd 2.86
Pt (0.5000, 0.0000, 0.8446)  2 Cr 2.74, 8 Pt 2.74-2.88, 2 Cd 2.90
Pt (0.5000, 0.5000, 0.0000)  8 Pt 2.74, 4 Cr 2.82
Pt (0.5000, 0.5000, 0.3280)  4 Cd 2.82, 8 Pt 2.88
Pt (0.5000, 0.5000, 0.6720)  4 Cd 2.82, 8 Pt 2.88

Output
* space group: P4/mmm (123)
* total energy: -5.706 eV per atom
* formation energy: -221 meV per atom
* total magnetic moment: 1.69 μB/f.u.